{"formula": "LiAlPt2", "functional": "PBE", "state": "relaxed", "lattice": [[-1.5204, -0.2658, -2.4601], [-2.4499, -0.2437, 1.5404], [-0.7889, 6.5431, -0.2193]], "species": ["Al", "Li", "Pt", "Pt"], "frac_coords": [[0.0000, 0.0000, 0.0000], [0.0000, 0.0000, 0.5000], [0.5000, 0.5000, 0.2432], [0.5000, 0.5000, 0.7568]], "crystal_system": "tetragonal", "m_tot_mub_per_cell": 0.0, "total_energy_ev_per_atom": -5.331, "mass_density_g_cm3": 12.66}


{"formula": "LiAlPt2", "functional": "PBE", "state": "relaxed", "lattice": [[2.1258, -3.6821, 0.0000], [2.1258, 3.6821, 0.0000], [0.0000, 0.0000, 7.8788]], "species": ["Al", "Al", "Li", "Li", "Pt", "Pt", "Pt", "Pt"], "frac_coords": [[0.3333, 0.6667, 0.2500], [0.6667, 0.3333, 0.7500], [0.0000, 0.0000, 0.0000], [0.0000, 0.0000, 0.5000], [0.6667, 0.3333, 0.0843], [0.6667, 0.3333, 0.4157], [0.3333, 0.6667, 0.5843], [0.3333, 0.6667, 0.9157]], "crystal_system": "hexagonal", "m_tot_mub_per_cell": 0.0, "total_energy_ev_per_atom": -5.093, "mass_density_g_cm3": 11.42}


{"formula": "Li2AlPt", "functional": "PBE", "state": "relaxed", "lattice": [[-0.9531, 1.5848, 3.8401], [-3.9117, 0.9845, -1.3772], [-1.9711, -5.3990, 1.7390]], "species": ["Al", "Al", "Li", "Li", "Li", "Li", "Pt", "Pt"], "frac_coords": [[0.5000, 0.5000, 0.0000], [0.0000, 0.0000, 0.5000], [0.0000, 0.0000, 0.0000], [0.5000, 0.0000, 0.2513], [0.5000, 0.5000, 0.5000], [0.0000, 0.5000, 0.7487], [0.0000, 0.5000, 0.2503], [0.5000, 0.0000, 0.7497]], "crystal_system": "tetragonal", "m_tot_mub_per_cell": 0.0, "total_energy_ev_per_atom": -4.107, "mass_density_g_cm3": 7.18}


{"formula": "LiAl2Pt2", "functional": "PBE", "state": "relaxed", "lattice": [[7.4375, 0.0000, 0.0000], [0.0000, 7.4375, 0.0000], [0.0000, 0.0000, 2.8049]], "species": ["Al", "Al", "Al", "Al", "Li", "Li", "Pt", "Pt", "Pt", "Pt"], "frac_coords": [[0.3522, 0.1478, 0.5000], [0.8522, 0.3522, 0.5000], [0.1478, 0.6478, 0.5000], [0.6478, 0.8522, 0.5000], [0.0000, 0.0000, 0.0000], [0.5000, 0.5000, 0.0000], [0.6498, 0.1498, 0.0000], [0.1498, 0.3502, 0.0000], [0.8502, 0.6498, 0.0000], [0.3502, 0.8502, 0.0000]], "crystal_system": "tetragonal", "m_tot_mub_per_cell": 0.0, "total_energy_ev_per_atom": -5.253, "mass_density_g_cm3": 9.66}


{"formula": "LiAlPt2", "functional": "PBE", "state": "relaxed", "lattice": [[-1.7043, 4.4069, 3.3336], [-4.6641, -3.8107, 2.6531], [3.7084, -1.6762, 4.1117]], "species": ["Al", "Al", "Al", "Al", "Li", "Li", "Li", "Li", "Pt", "Pt", "Pt", "Pt", "Pt", "Pt", "Pt", "Pt"], "frac_coords": [[0.2500, 0.2500, 0.0000], [0.7500, 0.7500, 0.0000], [0.2500, 0.2500, 0.5000], [0.7500, 0.7500, 0.5000], [0.7500, 0.2500, 0.0000], [0.2500, 0.7500, 0.0000], [0.2500, 0.7500, 0.5000], [0.7500, 0.2500, 0.5000], [0.0000, 0.0000, 0.2500], [0.0000, 0.5000, 0.2500], [0.5000, 0.0000, 0.2500], [0.5000, 0.5000, 0.2500], [0.5000, 0.0000, 0.7500], [0.5000, 0.5000, 0.7500], [0.0000, 0.0000, 0.7500], [0.0000, 0.5000, 0.7500]], "crystal_system": "orthorhombic", "m_tot_mub_per_cell": 0.0, "total_energy_ev_per_atom": -5.360, "mass_density_g_cm3": 12.79}


{"formula": "Li2AlPt", "functional": "PBE", "state": "relaxed", "lattice": [[-1.0233, 1.6816, -1.9607], [-1.6932, -1.7178, 1.3789], [-1.4848, 6.6935, 6.5155]], "species": ["Al", "Li", "Li", "Pt"], "frac_coords": [[0.0000, 0.0000, 0.0000], [0.0000, 0.0000, 0.2842], [0.0000, 0.0000, 0.7158], [0.6667, 0.3333, 0.5000]], "crystal_system": "hexagonal", "m_tot_mub_per_cell": 0.0, "total_energy_ev_per_atom": -3.641, "mass_density_g_cm3": 6.20}


{"formula": "Li2AlPt", "functional": "PBE", "state": "relaxed", "lattice": [[0.7739, 0.9942, -4.0628], [1.8793, -3.3882, 1.7556], [-4.1750, -0.0660, -0.8114]], "species": ["Al", "Li", "Li", "Pt"], "frac_coords": [[0.0000, 0.0000, 0.0000], [0.7500, 0.5000, 0.2500], [0.5000, 0.0000, 0.5000], [0.2500, 0.5000, 0.7500]], "crystal_system": "cubic", "m_tot_mub_per_cell": 0.0, "total_energy_ev_per_atom": -4.108, "mass_density_g_cm3": 7.20}


{"formula": "LiAlPt2", "functional": "PBE", "state": "relaxed", "lattice": [[2.1306, -3.6903, 0.0000], [2.1306, 3.6903, 0.0000], [0.0000, 0.0000, 7.7542]], "species": ["Al", "Al", "Li", "Li", "Pt", "Pt", "Pt", "Pt"], "frac_coords": [[0.6667, 0.3333, 0.2500], [0.3333, 0.6667, 0.7500], [0.0000, 0.0000, 0.2500], [0.0000, 0.0000, 0.7500], [0.3333, 0.6667, 0.0802], [0.3333, 0.6667, 0.4198], [0.6667, 0.3333, 0.5802], [0.6667, 0.3333, 0.9198]], "crystal_system": "hexagonal", "m_tot_mub_per_cell": 0.0, "total_energy_ev_per_atom": -4.990, "mass_density_g_cm3": 11.55}


{"formula": "LiAlPt2", "functional": "PBE", "state": "relaxed", "lattice": [[0.2465, 3.5497, 2.3278], [-0.2531, -3.7866, 1.9176], [8.1573, -0.5544, -0.0183]], "species": ["Al", "Al", "Li", "Li", "Pt", "Pt", "Pt", "Pt"], "frac_coords": [[0.0000, 0.0000, 0.0000], [0.0000, 0.0000, 0.5000], [0.3333, 0.6667, 0.2500], [0.6667, 0.3333, 0.7500], [0.6667, 0.3333, 0.0852], [0.6667, 0.3333, 0.4148], [0.3333, 0.6667, 0.5852], [0.3333, 0.6667, 0.9148]], "crystal_system": "hexagonal", "m_tot_mub_per_cell": 0.0, "total_energy_ev_per_atom": -5.142, "mass_density_g_cm3": 11.00}


{"formula": "LiAlPt2", "functional": "PBE", "state": "relaxed", "lattice": [[4.0727, 0.0000, 0.0000], [0.0000, 4.0727, 0.0000], [0.0000, 0.0000, 3.3092]], "species": ["Al", "Li", "Pt", "Pt"], "frac_coords": [[0.0000, 0.0000, 0.0000], [0.5000, 0.5000, 0.0000], [0.5000, 0.0000, 0.5000], [0.0000, 0.5000, 0.5000]], "crystal_system": "tetragonal", "m_tot_mub_per_cell": 0.0, "total_energy_ev_per_atom": -5.362, "mass_density_g_cm3": 12.83}


{"formula": "LiSc2AlPt4", "functional": "PBE", "state": "relaxed", "lattice": [[-1.6825, 3.7949, -2.1235], [-2.4479, 1.0554, 3.8256], [4.5556, 3.1627, 2.0425]], "species": ["Al", "Li", "Pt", "Pt", "Pt", "Pt", "Sc", "Sc"], "frac_coords": [[0.0000, 0.0000, 0.5000], [0.5000, 0.5000, 0.0000], [0.5000, 0.0000, 0.2528], [0.0000, 0.5000, 0.2528], [0.5000, 0.0000, 0.7472], [0.0000, 0.5000, 0.7472], [0.0000, 0.0000, 0.0000], [0.5000, 0.5000, 0.5000]], "crystal_system": "tetragonal", "m_tot_mub_per_cell": 0.0, "total_energy_ev_per_atom": -6.382, "mass_density_g_cm3": 11.68}


{"formula": "LiScAlPt", "functional": "PBE", "state": "relaxed", "lattice": [[-1.0750, -3.7327, -2.2310], [1.5420, -2.4760, 3.3997], [-5.7513, 0.0676, 2.6579]], "species": ["Al", "Al", "Li", "Li", "Pt", "Pt", "Sc", "Sc"], "frac_coords": [[0.5000, 0.0000, 0.2494], [0.0000, 0.5000, 0.7506], [0.0000, 0.0000, 0.0000], [0.5000, 0.5000, 0.5000], [0.5000, 0.5000, 0.0000], [0.0000, 0.0000, 0.5000], [0.0000, 0.5000, 0.2495], [0.5000, 0.0000, 0.7505]], "crystal_system": "tetragonal", "m_tot_mub_per_cell": 0.0, "total_energy_ev_per_atom": -5.388, "mass_density_g_cm3": 7.16}


{"formula": "Li2Sc2AlSiPt2", "functional": "PBE", "state": "relaxed", "lattice": [[4.4153, 0.0000, 0.0000], [0.0000, 4.4153, 0.0000], [0.0000, 0.0000, 6.3131]], "species": ["Al", "Li", "Li", "Pt", "Pt", "Sc", "Sc", "Si"], "frac_coords": [[0.0000, 0.0000, 0.0000], [0.5000, 0.0000, 0.2574], [0.0000, 0.5000, 0.7426], [0.0000, 0.5000, 0.2523], [0.5000, 0.0000, 0.7477], [0.5000, 0.5000, 0.0000], [0.0000, 0.0000, 0.5000], [0.5000, 0.5000, 0.5000]], "crystal_system": "tetragonal", "m_tot_mub_per_cell": 0.0, "total_energy_ev_per_atom": -5.615, "mass_density_g_cm3": 7.41}


{"formula": "Li2Sc2AlSnPt2", "functional": "PBE", "state": "relaxed", "lattice": [[-3.0272, -3.3542, -0.0843], [1.4297, -1.1868, -4.1194], [4.3695, -4.0107, 2.6720]], "species": ["Al", "Li", "Li", "Pt", "Pt", "Sc", "Sc", "Sn"], "frac_coords": [[0.0000, 0.0000, 0.0000], [0.5000, 0.0000, 0.2384], [0.0000, 0.5000, 0.7616], [0.0000, 0.5000, 0.2333], [0.5000, 0.0000, 0.7667], [0.5000, 0.5000, 0.0000], [0.0000, 0.0000, 0.5000], [0.5000, 0.5000, 0.5000]], "crystal_system": "tetragonal", "m_tot_mub_per_cell": 0.0, "total_energy_ev_per_atom": -5.452, "mass_density_g_cm3": 8.00}


{"formula": "Li2ZrScAl2Pt2", "functional": "PBE", "state": "relaxed", "lattice": [[4.4359, 0.0000, 0.0000], [0.0000, 4.4359, 0.0000], [0.0000, 0.0000, 6.3310]], "species": ["Al", "Al", "Li", "Li", "Pt", "Pt", "Sc", "Zr"], "frac_coords": [[0.0000, 0.5000, 0.2464], [0.5000, 0.0000, 0.7536], [0.5000, 0.0000, 0.2448], [0.0000, 0.5000, 0.7552], [0.5000, 0.5000, 0.0000], [0.0000, 0.0000, 0.5000], [0.0000, 0.0000, 0.0000], [0.5000, 0.5000, 0.5000]], "crystal_system": "tetragonal", "m_tot_mub_per_cell": 0.0, "total_energy_ev_per_atom": -5.448, "mass_density_g_cm3": 7.92}


{"formula": "Li4AlSiPt2", "functional": "PBE", "state": "relaxed", "lattice": [[4.2145, 0.0000, 0.0000], [0.0000, 4.2145, 0.0000], [0.0000, 0.0000, 5.9351]], "species": ["Al", "Li", "Li", "Li", "Li", "Pt", "Pt", "Si"], "frac_coords": [[0.0000, 0.0000, 0.0000], [0.5000, 0.5000, 0.0000], [0.0000, 0.5000, 0.2546], [0.0000, 0.0000, 0.5000], [0.5000, 0.0000, 0.7454], [0.5000, 0.0000, 0.2630], [0.0000, 0.5000, 0.7370], [0.5000, 0.5000, 0.5000]], "crystal_system": "tetragonal", "m_tot_mub_per_cell": 0.0, "total_energy_ev_per_atom": -4.306, "mass_density_g_cm3": 7.45}


{"formula": "Li2AlZn2SnPt2", "functional": "PBE", "state": "relaxed", "lattice": [[4.3774, 0.0000, 0.0000], [0.0000, 4.3774, 0.0000], [0.0000, 0.0000, 6.2960]], "species": ["Al", "Li", "Li", "Pt", "Pt", "Sn", "Zn", "Zn"], "frac_coords": [[0.0000, 0.0000, 0.0000], [0.5000, 0.0000, 0.2347], [0.0000, 0.5000, 0.7653], [0.0000, 0.5000, 0.2310], [0.5000, 0.0000, 0.7690], [0.5000, 0.5000, 0.5000], [0.5000, 0.5000, 0.0000], [0.0000, 0.0000, 0.5000]], "crystal_system": "tetragonal", "m_tot_mub_per_cell": 0.0, "total_energy_ev_per_atom": -3.879, "mass_density_g_cm3": 9.37}


{"formula": "Li4AlTlPt2", "functional": "PBE", "state": "relaxed", "lattice": [[4.3529, 0.0000, 0.0000], [0.0000, 4.3529, 0.0000], [0.0000, 0.0000, 6.3920]], "species": ["Al", "Li", "Li", "Li", "Li", "Pt", "Pt", "Tl"], "frac_coords": [[0.0000, 0.0000, 0.0000], [0.5000, 0.5000, 0.0000], [0.0000, 0.5000, 0.2342], [0.0000, 0.0000, 0.5000], [0.5000, 0.0000, 0.7658], [0.5000, 0.0000, 0.2133], [0.0000, 0.5000, 0.7867], [0.5000, 0.5000, 0.5000]], "crystal_system": "tetragonal", "m_tot_mub_per_cell": 0.0, "total_energy_ev_per_atom": -3.802, "mass_density_g_cm3": 8.90}


{"formula": "Li4AlZn2Pt", "functional": "PBE", "state": "relaxed", "lattice": [[-1.1489, -4.0394, 0.8704], [3.8667, -0.7325, 1.7046], [-2.0972, 1.7870, 5.5252]], "species": ["Al", "Li", "Li", "Li", "Li", "Pt", "Zn", "Zn"], "frac_coords": [[0.0000, 0.0000, 0.0000], [0.5000, 0.5000, 0.0000], [0.5000, 0.0000, 0.2651], [0.0000, 0.0000, 0.5000], [0.0000, 0.5000, 0.7349], [0.5000, 0.5000, 0.5000], [0.0000, 0.5000, 0.2548], [0.5000, 0.0000, 0.7452]], "crystal_system": "tetragonal", "m_tot_mub_per_cell": 0.0, "total_energy_ev_per_atom": -2.849, "mass_density_g_cm3": 5.57}


{"formula": "LiPuAl", "functional": "PBE", "state": "relaxed", "lattice": [[0.5000, -4.3723, 1.3915], [0.3491, -0.9641, 4.5003], [-3.4622, -2.1392, 2.1772]], "species": ["Al", "Li", "Pu"], "frac_coords": [[0.5000, 0.5000, 0.5000], [0.2500, 0.2500, 0.2500], [0.0000, 0.0000, 0.0000]], "crystal_system": "cubic", "m_tot_mub_per_cell": 6.5, "total_energy_ev_per_atom": -6.214, "mass_density_g_cm3": 6.64}


{"formula": "LiAlRe", "functional": "PBE", "state": "relaxed", "lattice": [[0.0000, 2.9786, 2.9786], [2.9786, 0.0000, 2.9786], [2.9786, 2.9786, 0.0000]], "species": ["Al", "Li", "Re"], "frac_coords": [[0.2500, 0.2500, 0.2500], [0.7500, 0.7500, 0.7500], [0.0000, 0.0000, 0.0000]], "crystal_system": "cubic", "m_tot_mub_per_cell": 1.3, "de_polymorph_mev_per_atom": 12, "mass_density_g_cm3": 6.92}


{"formula": "LiAlReTc", "functional": "PBE", "state": "relaxed", "lattice": [[-3.0339, -1.5264, 2.5641], [-2.2120, 2.6483, 2.4905], [-4.0953, 0.7914, -0.8433]], "species": ["Al", "Li", "Re", "Tc"], "frac_coords": [[0.0000, 0.0000, 0.0000], [0.7500, 0.7500, 0.7500], [0.5000, 0.5000, 0.5000], [0.2500, 0.2500, 0.2500]], "crystal_system": "cubic", "m_tot_mub_per_cell": 0.0, "de_polymorph_mev_per_atom": 0, "mass_density_g_cm3": 9.69}


{"formula": "LiAlReTc", "functional": "PBE", "state": "relaxed", "lattice": [[3.4348, 2.1079, 1.3518], [-0.4509, 3.5916, 2.2282], [0.9595, 0.0671, 4.1404]], "species": ["Al", "Li", "Re", "Tc"], "frac_coords": [[0.2500, 0.2500, 0.2500], [0.7500, 0.7500, 0.7500], [0.5000, 0.5000, 0.5000], [0.0000, 0.0000, 0.0000]], "crystal_system": "cubic", "m_tot_mub_per_cell": 0.5, "de_polymorph_mev_per_atom": 574, "mass_density_g_cm3": 9.73}


{"formula": "Li2ZrAlS4", "functional": "PBE", "state": "relaxed", "lattice": [[-2.8105, 2.8105, 5.5191], [2.8105, -2.8105, 5.5191], [2.8105, 2.8105, -5.5191]], "species": ["Al", "Li", "Li", "S", "S", "S", "S", "Zr"], "frac_coords": [[0.5000, 0.5000, 0.0000], [0.0000, 0.0000, 0.0000], [0.7500, 0.2500, 0.5000], [0.6206, 0.1494, 0.0051], [0.8506, 0.8557, 0.4711], [0.3845, 0.3794, 0.5289], [0.1443, 0.6155, 0.9949], [0.2500, 0.7500, 0.5000]], "crystal_system": "tetragonal", "m_tot_mub_per_cell": 1.0, "total_energy_ev_per_atom": -5.281, "mass_density_g_cm3": 2.48}


{"formula": "Li4AlZn2Sn", "functional": "PBE", "state": "relaxed", "lattice": [[-3.3143, -0.8321, 2.8200], [2.8788, -1.7824, 2.8574], [0.8483, 5.6328, 2.6590]], "species": ["Al", "Li", "Li", "Li", "Li", "Sn", "Zn", "Zn"], "frac_coords": [[0.0000, 0.0000, 0.0000], [0.5000, 0.5000, 0.0000], [0.5000, 0.0000, 0.2419], [0.0000, 0.0000, 0.5000], [0.0000, 0.5000, 0.7581], [0.5000, 0.5000, 0.5000], [0.0000, 0.5000, 0.2300], [0.5000, 0.0000, 0.7700]], "crystal_system": "tetragonal", "total_energy_ev_per_atom": -2.521, "mass_density_g_cm3": 4.09}


{"formula": "Li2TaAl", "functional": "PBE", "state": "relaxed", "lattice": [[3.7010, -2.4431, -0.3302], [0.7878, -3.2500, 2.9313], [-0.2496, -4.2529, -1.2751]], "species": ["Al", "Li", "Li", "Ta"], "frac_coords": [[0.5000, 0.5000, 0.5000], [0.0000, 0.0000, 0.0000], [0.7500, 0.7500, 0.7500], [0.2500, 0.2500, 0.2500]], "crystal_system": "cubic", "m_tot_mub_per_cell": 0.0, "total_energy_ev_per_atom": -4.542, "mass_density_g_cm3": 5.92}